Record 1
VASP calculation (PBE-GGA) on an optimized crystal structure of ScAgN2O.

The structure in POSCAR format:
```
ScAgN2O
1.0
3.990 0.000 0.000
0.000 3.990 0.000
0.000 0.000 3.990
Ag Sc O N
1 1 1 2
Cartesian
0.000 0.000 0.000 Ag
1.995 1.995 1.995 Sc
0.000 0.000 1.995 O
0.000 1.995 0.000 N
1.995 0.000 0.000 N
```

Summary:
Its size of the total moment is 0.00 μB per formula unit. The value obtained for the uncorrected formation energy is 71.5 kJ/mol of atoms. For the total energy, the calculation gives -5.4177 eV per atom.



Record 2
VASP calculation (PBE-GGA) on an optimized crystal structure of HfCoP.

The structure in POSCAR format:
```
HfCoP
1.0
3.459 0.000 0.000
0.000 6.152 -0.304
-1.729 -1.014 8.454
P Hf Co
4 4 4
Cartesian
1.729 4.151 3.141 P
0.000 4.466 6.336 P
0.000 0.987 5.009 P
1.729 0.672 1.814 P
1.729 2.509 6.351 Hf
0.000 2.629 1.799 Hf
0.000 0.487 7.801 Hf
1.729 4.651 0.349 Hf
0.000 3.513 4.347 Co
0.000 5.726 2.762 Co
1.729 1.625 3.803 Co
1.729 -0.588 5.388 Co
```

Summary:
The value obtained for the energy relative to the elements is -2.00 eV per formula unit. Its size of the total moment is 0.00 μB per formula unit. For the total energy, the calculation gives -8.1557 eV per atom.



Record 3
VASP calculation (PBE-GGA) on an optimized crystal structure of KLaFe.

The structure in POSCAR format:
```
KLaFe
1.0
-2.568 1.568 -7.564
-0.522 -1.505 -7.843
-3.376 -1.504 -0.219
K La Fe
1 1 1
Cartesian
-3.273 -0.940 -5.689 K
-3.202 -0.549 -9.480 La
-3.368 -1.456 -0.676 Fe
```

Summary:
Its distance to the lowest polymorph of the same formula is 0 meV per atom. The value obtained for the energy relative to the elements is 1.80 eV per formula unit. Its size of the total moment is 1.70 μB per formula unit. For the total energy, the calculation gives -4.2297 eV per atom.



Record 4
VASP calculation (PBE-GGA) on an optimized crystal structure of Pm3TlRh.

The structure in POSCAR format:
```
Pm3TlRh
1.0
6.885 0.000 0.000
0.000 10.019 -0.025
0.000 -4.014 8.845
Tl Pm Rh
4 12 4
Cartesian
4.705 -1.554 5.112 Tl
5.622 3.455 5.100 Tl
1.263 2.550 3.721 Tl
2.180 7.559 3.708 Tl
2.794 4.874 5.463 Pm
3.926 8.232 0.897 Pm
0.557 -0.304 1.749 Pm
2.886 4.705 1.737 Pm
4.091 1.130 3.357 Pm
2.959 -2.228 7.923 Pm
3.999 1.300 7.084 Pm
6.401 3.223 0.909 Pm
6.236 6.139 3.345 Pm
6.328 6.309 7.071 Pm
0.483 2.781 7.911 Pm
0.649 -0.135 5.475 Pm
5.043 0.791 0.730 Rh
5.284 5.800 0.717 Rh
1.600 0.205 8.103 Rh
1.842 5.214 8.091 Rh
```

Summary:
Its distance to the lowest polymorph of the same formula is 63 meV per atom. The value obtained for the energy relative to the elements is -2.08 eV per formula unit. Its size of the total moment is 0.00 μB per formula unit. For the total energy, the calculation gives -5.2093 eV per atom.



Record 5
VASP calculation (PBE-GGA) on an optimized crystal structure of Ta2OsCCl.

The structure in POSCAR format:
```
Ta2OsCCl
1.0
4.740 0.000 0.000
0.000 3.353 0.000
0.000 0.000 4.740
Ta C Os Cl
2 1 1 1
Cartesian
2.370 0.000 0.000 Ta
0.000 0.000 2.370 Ta
0.000 1.676 0.000 C
2.370 1.676 2.370 Os
0.000 0.000 0.000 Cl
```

Summary:
Its size of the total moment is 0.00 μB per formula unit. The value obtained for the uncorrected formation energy is 173.8 kJ/mol of atoms. For the total energy, the calculation gives -7.3995 eV per atom.